1.
Compound: BaLa2Ce
Source: the Alexandria database
Functional: PBE
Structure: relaxed

```
BaLa2Ce
1.0
4.227 0.000 0.000
2.113 3.661 0.000
2.113 1.220 10.596
Ba Ce La
1 1 2
direct
0.000 0.000 0.000
0.500 0.500 0.500
0.118 0.118 0.647
0.882 0.882 0.353
```

SG   R-3m
Electronic total energy   -3.953 eV per atom
Calculated formation energy   0.475 eV per atom
Total magnetic moment   0.000 μB per atom
Crystal system   trigonal

2.
Compound: Cs2Rb2Pd
Source: the Alexandria database
Functional: PBE
Structure: relaxed

```
Cs2Rb2Pd
1.0
-2.575 -0.222 4.755
4.616 -1.436 2.433
3.762 11.474 5.654
Cs Rb Pd
2 2 1
direct
0.426 0.426 0.148
0.574 0.574 0.852
0.750 0.250 0.500
0.250 0.750 0.500
0.000 0.000 0.000
```

SG   I4/mmm
Electronic total energy   -1.381 eV per atom
Calculated formation energy   0.386 eV per atom
Total magnetic moment   0.000 μB per atom
Crystal system   tetragonal

3.
Compound: PuBC
Source: the Alexandria database
Functional: PBE
Structure: relaxed

```
PuBC
1.0
-1.122 -2.479 -1.103
5.274 -2.078 -0.693
-2.082 0.622 4.627
B C Pu
2 2 2
direct
0.715 0.098 0.431
0.285 0.902 0.569
0.299 0.233 0.597
0.701 0.767 0.403
0.048 0.294 0.097
0.952 0.706 0.903
```

SG   C2/m
Electronic total energy   -10.043 eV per atom
Calculated formation energy   0.034 eV per atom
Total magnetic moment   1.703 μB per atom
Crystal system   monoclinic

4.
Compound: TeP2IrPt
Source: the Alexandria database
Functional: PBE
Structure: relaxed

```
TeP2IrPt
1.0
-2.799 -4.037 0.528
2.335 -2.102 -3.688
3.302 -1.876 3.159
P Ir Te Pt
2 1 1 1
direct
0.000 0.000 0.500
0.500 0.000 0.000
0.000 0.500 0.000
0.000 0.000 0.000
0.500 0.500 0.500
```

Raw formation energy   1.835 eV per atom
SG   P4/mmm
Electronic total energy   -3.937 eV per atom
Total magnetic moment   0.000 μB per atom
Crystal system   tetragonal

5.
Compound: Pr2CuNiH
Source: the Alexandria database
Functional: PBE
Structure: relaxed

```
Pr2CuNiH
1.0
-3.622 -1.378 -1.073
-1.725 -0.369 6.298
-2.034 7.158 -2.327
Pr Cu Ni H
4 2 2 2
direct
0.750 0.774 0.578
0.750 0.760 0.049
0.250 0.226 0.422
0.250 0.240 0.951
0.250 0.646 0.290
0.750 0.354 0.710
0.250 0.592 0.768
0.750 0.408 0.232
0.250 0.849 0.849
0.750 0.151 0.151
```

SG   P2_1/m
Electronic total energy   -4.841 eV per atom
Total magnetic moment   0.000 μB per atom
Crystal system   monoclinic

6.
Compound: SnRuSe2
Source: the Alexandria database
Functional: PBE
Structure: relaxed

```
SnRuSe2
1.0
2.065 -8.039 1.459
5.235 -6.128 2.460
2.318 -6.429 4.930
Ru Sn Se
1 1 2
direct
0.000 0.000 0.000
0.500 0.500 0.500
0.903 0.903 0.903
0.097 0.097 0.097
```

Raw formation energy   0.468 eV per atom
SG   R-3m
Electronic total energy   -4.594 eV per atom
Total magnetic moment   0.376 μB per atom
Crystal system   trigonal

7.
Compound: BaIn4Sn2
Source: the Alexandria database
Functional: PBE
Structure: relaxed

```
BaIn4Sn2
1.0
5.039 0.000 0.000
0.000 5.391 0.000
0.000 -2.695 8.126
Ba In Sn
1 4 2
direct
0.000 0.000 0.000
0.500 0.816 0.632
0.000 0.699 0.399
0.500 0.184 0.368
0.000 0.301 0.601
0.500 0.590 0.181
0.500 0.410 0.819
```

SG   Cmmm
Electronic total energy   -3.194 eV per atom
Calculated formation energy   -0.211 eV per atom
Total magnetic moment   0.000 μB per atom
Crystal system   orthorhombic

8.
Compound: LaBeW2
Source: the Alexandria database
Functional: PBE
Structure: relaxed

```
LaBeW2
1.0
-4.633 -2.212 -1.578
0.549 -5.319 -0.497
0.327 3.997 3.572
Be W La
1 2 1
direct
0.469 0.469 0.000
0.031 0.031 0.000
0.244 0.744 0.500
0.756 0.256 0.500
```

SG   Imm2
Electronic total energy   -7.738 eV per atom
Calculated formation energy   0.902 eV per atom
Total magnetic moment   0.000 μB per atom
Crystal system   orthorhombic

Question: Which of these has the lowest electronic total energy?
Answer: PuBC

Copy entry 1 word for word.
Compound: BaLa2Ce
Source: the Alexandria database
Functional: PBE
Structure: relaxed

```
BaLa2Ce
1.0
4.227 0.000 0.000
2.113 3.661 0.000
2.113 1.220 10.596
Ba Ce La
1 1 2
direct
0.000 0.000 0.000
0.500 0.500 0.500
0.118 0.118 0.647
0.882 0.882 0.353
```

SG   R-3m
Electronic total energy   -3.953 eV per atom
Calculated formation energy   0.475 eV per atom
Total magnetic moment   0.000 μB per atom
Crystal system   trigonal

Please write out number 1 again, unchanged.
Compound: BaLa2Ce
Source: the Alexandria database
Functional: PBE
Structure: relaxed

```
BaLa2Ce
1.0
4.227 0.000 0.000
2.113 3.661 0.000
2.113 1.220 10.596
Ba Ce La
1 1 2
direct
0.000 0.000 0.000
0.500 0.500 0.500
0.118 0.118 0.647
0.882 0.882 0.353
```

SG   R-3m
Electronic total energy   -3.953 eV per atom
Calculated formation energy   0.475 eV per atom
Total magnetic moment   0.000 μB per atom
Crystal system   trigonal